DFT (PBE-GGA) results for a relaxed structure of MnSi2W.

```
MnSi2W
1.0
3.304 0.000 0.000
0.000 4.378 0.000
0.000 0.000 7.360
Mn Si W
2 4 2
Direct
0.000 0.000 0.000
0.500 0.500 0.000
0.000 0.500 0.230
0.000 0.500 0.770
0.500 0.000 0.230
0.500 0.000 0.770
0.000 0.000 0.500
0.500 0.500 0.500
```

## Properties
density = 9.199 g cm⁻³
total magnetization = 3.3 μB per cell
formation energy (no corrections) = -0.004 eV per atom
E = -8.25 eV/atom
polymorph energy (0 for the lowest one) = 234 meV/atom